No. 1
Material: Cs2Se2Br
Method: DFT, PBE
State: optimized geometry

```
Cs2Se2Br
1.0
-2.071 2.071 10.491
2.071 -2.071 10.491
2.071 2.071 -10.491
Cs Se Br
2 2 1
Cartesian
0.000 0.000 12.712
0.000 0.000 8.270
0.000 2.071 5.246
2.071 0.000 5.246
0.000 0.000 0.000
```

Results
- Magnetic moment: 0.00 μB/f.u.
- Symmetry: I4/mmm
- Energy above the most stable polymorph in this dataset: 51 meV/atom

No. 2
Material: TlV3Hg
Method: DFT, PBE
State: optimized geometry

```
TlV3Hg
1.0
-1.567 2.191 4.415
1.767 -4.075 2.649
4.601 2.311 0.486
Tl Hg V
1 1 3
Cartesian
0.000 0.000 0.000
2.400 0.213 3.775
0.884 -2.037 1.324
2.300 1.156 0.243
-0.783 1.095 2.207
```

Results
- Magnetic moment: 9.91 μB/f.u.
- Energy of formation: 1655 meV/atom
- Symmetry: Pm-3m
- Energy above the most stable polymorph in this dataset: 102 meV/atom

No. 3
Material: BeP2Se
Method: DFT, PBE
State: optimized geometry

```
BeP2Se
1.0
-1.560 1.483 -1.460
-2.226 -0.087 2.290
3.274 6.832 3.442
P Se Be
2 1 1
Cartesian
2.911 6.074 3.060
2.000 4.173 2.102
-1.074 2.406 1.275
0.563 5.822 2.996
```

Results
- Magnetic moment: 0.00 μB/f.u.
- Symmetry: Pmmm
- Energy above the most stable polymorph in this dataset: 604 meV/atom

No. 4
Material: Sm2Mg3Tl2
Method: DFT, PBE
State: optimized geometry

```
Sm2Mg3Tl2
1.0
-4.039 2.353 -1.038
0.978 -4.807 -3.658
-2.998 -2.408 6.205
Sm Mg Tl
2 3 2
Cartesian
-3.438 -1.930 -2.045
-2.622 -2.932 3.553
-2.019 1.177 -0.519
-3.535 -0.634 1.273
-2.524 -4.228 0.236
-5.056 -3.206 1.359
-1.003 -1.656 0.149
```

Results
- Magnetic moment: 0.00 μB/f.u.
- Energy of formation: -216 meV/atom
- Symmetry: C2/m